# 1
Below is a relaxed LuScIrOs crystal, with properties calculated at the GGA-PBE level.

Output
total energy	-8.3797	eV/atom

abc: 6.5614 6.5614 6.5614
angles: 90.00 90.00 90.00
With the nearest neighbours (Å) after each atom.
Space group F-43m (No. 216)
Inequivalent atoms, fractional coordinates:
Lu (0.0000, 0.0000, 0.0000) (multiplicity 4)  4 Os 2.84, 4 Ir 2.84
Sc (0.0000, 0.0000, 0.5000) (multiplicity 4)  4 Os 2.84, 4 Ir 2.84
Ir (0.2500, 0.2500, 0.2500) (multiplicity 4)  4 Sc 2.84, 4 Lu 2.84
Os (0.2500, 0.2500, 0.7500) (multiplicity 4)  4 Lu 2.84, 4 Sc 2.84



# 2
Below is a relaxed BeZnCdIr crystal, with properties calculated at the GGA-PBE level.

Output
energy above the most stable polymorph in this dataset	0.0161	eV/atom
total energy	-3.8618	eV/atom

abc: 2.9669 2.9092 7.2574
angles: 90.00 101.05 90.00
With the nearest neighbours (Å) after each atom.
Space group Pm (No. 6)
Inequivalent atoms, fractional coordinates:
Be (0.0000, 0.0000, 0.0000) (multiplicity 1)  4 Ir 2.29
Zn (0.8233, 0.0000, 0.6255) (multiplicity 1)  1 Be 2.67, 4 Ir 2.68-2.69, 2 Cd 2.86, 4 Zn 2.91-2.97
Cd (0.6294, 0.5000, 0.2800) (multiplicity 1)  2 Zn 2.86, 4 Be 2.88, 4 Cd 2.91-2.97, 1 Ir 2.96
Ir (0.4364, 0.5000, 0.8643) (multiplicity 1)  4 Be 2.29